First-principles (PBE) data for crystalline VRhPbAu2 at its relaxed geometry, as listed in Alexandria via LeMat-Bulk.

```
5
Lattice="5.167 0.000 0.000 0.000 5.006 0.000 0.000 0.000 5.167" Properties=species:S:1:pos:R:3 pbc="T T T"
Pb 0.000 0.000 0.000
Rh 0.000 2.503 0.000
Au 0.000 0.000 2.584
Au 2.584 0.000 0.000
V 2.584 2.503 2.584
```

* total magnetic moment: 0.140 Bohr magnetons per cell
* formation energy: 7.65 eV per formula unit
* space-group type: P4/mmm (123)
* final energy: -19.079 eV for the cell shown